(A)
KNa4: relaxed, PBE.

Results
Crystal system: orthorhombic

Cell: 7.5043 7.5320 16.2840 Å, 90.00 90.00 90.00°
Closest atoms and distances in Å follow each position.
Space group Fmmm (No. 69)
Inequivalent atoms, fractional coordinates:
K (0.0000, 0.0000, 0.0000)  8 Na 4.12-4.14
Na (0.0000, 0.0000, 0.3950)  5 Na 3.42-3.56
Na (0.2500, 0.2500, 0.2500)  8 Na 3.56-3.77

(B)
KNa4: relaxed, PBE.

Results
Crystal system: cubic

Cell: 6.6069 6.6069 6.6069 Å, 90.00 90.00 90.00°
Closest atoms and distances in Å follow each position.
Space group Pm-3m (No. 221)
Inequivalent atoms, fractional coordinates:
K (0.0000, 0.0000, 0.0000)  6 Na 3.30
Na (0.0000, 0.0000, 0.5000)  2 K 3.30
Na (0.5000, 0.5000, 0.5000)  12 Na 4.67

Top of the stability list: (A), leading by 301 meV per atom.

(A)
K3Na2: relaxed, PBE.

Results
Crystal system: trigonal

Cell: 8.5889 8.5889 28.4394 Å, 90.00 90.00 120.00°
Closest atoms and distances in Å follow each position.
Space group R-3c (No. 167, hexagonal axes)
Inequivalent atoms, fractional coordinates:
K (0.0000, 0.4779, 0.2500)  4 Na 3.97-4.42, 4 K 4.31
Na (0.0000, 0.0000, 0.1920)  1 Na 3.30

(B)
K3Na2: relaxed, PBE.

Results
Crystal system: orthorhombic

Cell: 14.4735 20.8085 7.5494 Å, 90.00 90.00 90.00°
Closest atoms and distances in Å follow each position.
Space group Fdd2 (No. 43)
Inequivalent atoms, fractional coordinates:
K (0.0000, 0.0000, 0.0000)  6 Na 4.11-4.29, 4 K 4.38-4.40
K (0.0350, 0.1050, 0.4985)  4 Na 4.02-4.41, 5 K 4.16-4.49
Na (0.0160, 0.2053, 0.9664)  7 K 4.02-4.41, 2 Na 4.23

Top of the stability list: (B), leading by 30 meV per atom.

(A)
K3Na5: relaxed, PBE.

Results
Crystal system: tetragonal

Cell: 5.9203 5.9203 22.3108 Å, 90.00 90.00 90.00°
Closest atoms and distances in Å follow each position.
Space group I-4m2 (No. 119)
Inequivalent atoms, fractional coordinates:
K (0.0000, 0.0000, 0.0000)  4 K 4.18, 8 Na 4.19-4.26
K (0.0000, 0.5000, 0.1322)  10 Na 3.94-4.19, 2 K 4.18
Na (0.0000, 0.0000, 0.2487)  8 Na 3.87-4.19, 4 K 3.94-3.98
Na (0.0000, 0.0000, 0.5000)  8 K 4.18-4.19, 4 Na 4.26
Na (0.0000, 0.5000, 0.6372)  6 Na 3.87-4.26, 6 K 4.19-4.26

(B)
K3Na5: relaxed, PBE.

Results
Crystal system: orthorhombic

Cell: 9.6188 12.9502 6.3150 Å, 90.00 90.00 90.00°
Closest atoms and distances in Å follow each position.
Space group Cmmm (No. 65)
Inequivalent atoms, fractional coordinates:
K (0.0000, 0.0000, 0.0000)  8 Na 4.03-4.10, 4 K 4.52
K (0.0000, 0.2494, 0.5000)  8 Na 3.92-4.16
Na (0.0000, 0.5000, 0.0000)  8 Na 3.85-4.03
Na (0.2282, 0.5000, 0.5000)  2 Na 3.85, 6 K 3.92-4.16
Na (0.2500, 0.2500, 0.0000)  6 K 3.97-4.03, 2 Na 4.03

Top of the stability list: (A), leading by 5 meV per atom.

(A)
K7Na3: relaxed, PBE.

Results
Crystal system: monoclinic

Cell: 22.1505 6.6070 8.6961 Å, 90.00 107.66 90.00°
Closest atoms and distances in Å follow each position.
Space group C2/m (No. 12)
Inequivalent atoms, fractional coordinates:
K (0.0000, 0.0000, 0.0000)  4 Na 4.11-4.35, 4 K 4.50
K (0.0915, 0.5000, 0.3427)  4 Na 4.31-4.63, 8 K 4.35-4.50
K (0.1195, 0.5000, 0.8599)  3 Na 4.13-4.17, 7 K 4.35-4.62
K (0.2041, 0.0000, 0.6430)  5 Na 4.10-4.45, 5 K 4.47-4.49
Na (0.0000, 0.0000, 0.5000)  12 K 4.31-4.76
Na (0.1947, 0.0000, 0.1469)  8 K 4.10-4.45

(B)
K7Na3: relaxed, PBE.

Results
Crystal system: hexagonal

Cell: 13.3535 13.3535 8.0731 Å, 90.00 90.00 120.00°
Closest atoms and distances in Å follow each position.
Space group P6_3mc (No. 186)
Inequivalent atoms, fractional coordinates:
K (0.0715, 0.5357, 0.0000)  4 Na 4.00-4.40, 2 K 4.36
K (0.1214, 0.2429, 0.2207)  3 Na 3.99-4.15
K (0.3333, 0.6667, 0.4120)  3 Na 3.85
Na (0.1970, 0.3941, 0.6862)  6 K 3.85-4.15

Top of the stability list: (A), leading by 13 meV per atom.

(A)
K4Na: relaxed, PBE.

Results
Crystal system: cubic

Cell: 7.1964 7.1964 7.1964 Å, 90.00 90.00 90.00°
Closest atoms and distances in Å follow each position.
Space group Pm-3m (No. 221)
Inequivalent atoms, fractional coordinates:
K (0.0000, 0.0000, 0.0000)  12 K 5.09
K (0.0000, 0.5000, 0.5000)  2 Na 3.60
Na (0.5000, 0.5000, 0.5000)  6 K 3.60

(B)
K4Na: relaxed, PBE.

Results
Crystal system: tetragonal

Cell: 5.6186 5.6186 22.6489 Å, 90.00 90.00 90.00°
Closest atoms and distances in Å follow each position.
Space group I4/mmm (No. 139)
Inequivalent atoms, fractional coordinates:
K (0.0000, 0.0000, 0.0899)  1 K 4.07, 4 Na 4.46
K (0.0000, 0.5000, 0.2500)  4 K 3.97
Na (0.0000, 0.0000, 0.5000)  8 K 4.46

Top of the stability list: (A), leading by 16 meV per atom.

(A)
K2Na: relaxed, PBE.

Results
Crystal system: tetragonal

Cell: 4.6849 4.6849 16.2809 Å, 90.00 90.00 90.00°
Closest atoms and distances in Å follow each position.
Space group I4/mmm (No. 139)
Inequivalent atoms, fractional coordinates:
K (0.0000, 0.0000, 0.1491)  4 Na 4.11
Na (0.0000, 0.0000, 0.5000)  8 K 4.11

(B)
K2Na: relaxed, PBE.

Results
Crystal system: cubic

Cell: 11.5504 11.5504 11.5504 Å, 90.00 90.00 90.00°
Closest atoms and distances in Å follow each position.
Space group Fd-3m (No. 227, origin choice 2)
Inequivalent atoms, fractional coordinates:
K (0.0000, 0.0000, 0.0000)  6 K 4.08
Na (0.1250, 0.1250, 0.6250)  12 K 4.79, 4 Na 5.00

(C)
K2Na: relaxed, PBE.

Results
Crystal system: monoclinic

Cell: 11.6363 6.9834 4.3639 Å, 90.00 91.78 90.00°
Closest atoms and distances in Å follow each position.
Space group C2/m (No. 12)
Inequivalent atoms, fractional coordinates:
K (0.1685, 0.0000, 0.3136)  3 Na 4.13-4.21, 5 K 4.27-4.36
Na (0.0000, 0.5000, 0.0000)  6 K 4.13-4.21, 2 Na 4.36

Top of the stability list: (A), leading by 18 meV per atom.

(A)
KNa6: relaxed, PBE.

Results
Crystal system: cubic

Cell: 9.0764 9.0764 9.0764 Å, 90.00 90.00 90.00°
Closest atoms and distances in Å follow each position.
Space group Im-3m (No. 229)
Inequivalent atoms, fractional coordinates:
K (0.0000, 0.0000, 0.0000)  24 Na 5.07
Na (0.0000, 0.2500, 0.5000)  4 Na 3.21

(B)
KNa6: relaxed, PBE.

Results
Crystal system: tetragonal

Cell: 5.6491 5.6491 9.7728 Å, 90.00 90.00 90.00°
Closest atoms and distances in Å follow each position.
Space group P4/mmm (No. 123)
Inequivalent atoms, fractional coordinates:
K (0.0000, 0.0000, 0.0000)  12 Na 3.99-4.00
Na (0.0000, 0.0000, 0.5000)  8 Na 3.49
Na (0.0000, 0.5000, 0.2902)  2 Na 3.49
Na (0.5000, 0.5000, 0.0000)  4 K 3.99, 8 Na 4.00

(C)
KNa6: relaxed, PBE.

Results
Crystal system: orthorhombic

Cell: 11.4640 7.0200 14.8451 Å, 90.00 90.00 90.00°
Closest atoms and distances in Å follow each position.
Space group Pnma (No. 62)
Inequivalent atoms, fractional coordinates:
K (0.2449, 0.2500, 0.0666)  11 Na 4.01-4.49
Na (0.0507, 0.7500, 0.0878)  5 Na 3.60-3.87
Na (0.0644, 0.0065, 0.3078)  8 Na 3.42-3.79
Na (0.0981, 0.2500, 0.5182)  6 Na 3.58-3.85, 2 K 4.01
Na (0.1406, 0.7500, 0.8557)  8 Na 3.60-3.86
Na (0.1891, 0.2500, 0.7539)  6 Na 3.45-3.65

Top of the stability list: (C), leading by 47 meV per atom.

(A)
KNaNb2: relaxed, PBE.

Results
Crystal system: tetragonal

Cell: 9.1342 9.1342 5.1049 Å, 90.00 90.00 90.00°
Closest atoms and distances in Å follow each position.
Space group I-42d (No. 122)
Inequivalent atoms, fractional coordinates:
K (0.0000, 0.0000, 0.0000)  2 Na 2.55
Na (0.0000, 0.0000, 0.5000)  2 K 2.55
Nb (0.2434, 0.2500, 0.6250)  2 Nb 2.56

(B)
KNaNb2: relaxed, PBE.

Results
Crystal system: cubic

Cell: 7.2604 7.2604 7.2604 Å, 90.00 90.00 90.00°
Closest atoms and distances in Å follow each position.
Space group Fm-3m (No. 225)
Inequivalent atoms, fractional coordinates:
K (0.0000, 0.0000, 0.0000)  8 Nb 3.14
Na (0.0000, 0.0000, 0.5000)  8 Nb 3.14
Nb (0.2500, 0.2500, 0.2500)  4 Na 3.14, 4 K 3.14

Top of the stability list: (A), leading by 361 meV per atom.

(A)
KNa3Nb: relaxed, PBE.

Results
Crystal system: cubic

Cell: 6.1682 6.1682 6.1682 Å, 90.00 90.00 90.00°
Closest atoms and distances in Å follow each position.
Space group Pm-3m (No. 221)
Inequivalent atoms, fractional coordinates:
K (0.0000, 0.0000, 0.0000)  12 Na 4.36
Na (0.0000, 0.5000, 0.5000)  2 Nb 3.08
Nb (0.5000, 0.5000, 0.5000)  6 Na 3.08

(B)
KNa3Nb: relaxed, PBE.

Results
Crystal system: cubic

Cell: 5.7941 5.7941 5.7941 Å, 90.00 90.00 90.00°
Closest atoms and distances in Å follow each position.
Space group Pm-3m (No. 221)
Inequivalent atoms, fractional coordinates:
K (0.0000, 0.0000, 0.0000)  6 Na 2.90
Na (0.0000, 0.0000, 0.5000)  2 K 2.90
Nb (0.5000, 0.5000, 0.5000)  12 Na 4.10

Top of the stability list: (A), leading by 371 meV per atom.

(A)
KNaNb2O6: relaxed, PBE.

Results
Crystal system: monoclinic

Cell: 8.3874 7.9572 4.0168 Å, 90.00 90.42 90.00°
Closest atoms and distances in Å follow each position.
Space group Cm (No. 8)
Inequivalent atoms, fractional coordinates:
K (0.0000, 0.0000, 0.0000)  12 O 2.69-2.97
Na (0.4588, 0.0000, 0.0178)  8 O 2.54-2.84
Nb (0.2376, 0.2535, 0.5098)  4 O 1.86-2.02
O (0.0165, 0.2694, 0.4932)  1 Nb 1.86
O (0.2523, 0.0000, 0.4850)  2 Nb 2.02
O (0.2661, 0.2457, 0.9902)  2 Nb 1.94-2.10
O (0.2808, 0.5000, 0.4860)  2 Nb 2.00

(B)
KNaNb2O6: relaxed, PBE.

Results
Crystal system: monoclinic

Cell: 10.3223 11.7818 6.7471 Å, 90.00 113.54 90.00°
Closest atoms and distances in Å follow each position.
Space group C2/c (No. 15)
Inequivalent atoms, fractional coordinates:
K (0.0000, 0.1072, 0.2500)  6 O 2.75-2.80
Na (0.0000, 0.2014, 0.7500)  4 O 2.32-2.34
Nb (0.1530, 0.4266, 0.1877)  4 O 1.81-2.01
O (0.1043, 0.2835, 0.0902)  1 Nb 1.81
O (0.1085, 0.4656, 0.4434)  2 Nb 1.98-2.01
O (0.1549, 0.0732, 0.6927)  1 Nb 1.82

Top of the stability list: (A), leading by 48 meV per atom.

(A)
K2NaNi: relaxed, PBE.

Results
Crystal system: tetragonal

Cell: 6.9221 6.9221 16.9041 Å, 90.00 90.00 90.00°
Closest atoms and distances in Å follow each position.
Space group I-42d (No. 122)
Inequivalent atoms, fractional coordinates:
K (0.1541, 0.2500, 0.1250)  2 Ni 2.93
Na (0.0000, 0.0000, 0.5000)  4 K 3.63
Ni (0.0000, 0.0000, 0.0000)  4 K 2.93

(B)
K2NaNi: relaxed, PBE.

Results
Crystal system: cubic

Cell: 8.2564 8.2564 8.2564 Å, 90.00 90.00 90.00°
Closest atoms and distances in Å follow each position.
Space group Fm-3m (No. 225)
Inequivalent atoms, fractional coordinates:
K (0.2500, 0.2500, 0.2500)  4 Na 3.58, 4 Ni 3.58
Na (0.0000, 0.0000, 0.0000)  8 K 3.58
Ni (0.0000, 0.0000, 0.5000)  8 K 3.58

Top of the stability list: (B), leading by 252 meV per atom.